Record 1
Density functional theory data (PBE) for crystalline HfSnO2F at its relaxed geometry.

Cell lengths 4.193, 4.193, 4.360 Å; angles 90.00, 90.00, 90.00 degrees
Atoms (fractional coordinates):
O (0.500, 0.000, 0.000)
F (0.000, 0.000, 0.500)
Hf (0.500, 0.500, 0.500)
O (0.000, 0.500, 0.000)
Sn (0.000, 0.000, 0.000)

Values from the calculation:
Crystal system   tetragonal
Magnetic moment   1.97 μB/f.u.
ΔE_f (raw)   -0.756 eV per atom
Symmetry   No. 123

Record 2
Density functional theory data (PBE) for crystalline Th4Os2Au at its relaxed geometry.

Cell lengths 4.142, 7.148, 13.825 Å; angles 90.00, 90.00, 106.84 degrees
Atoms (fractional coordinates):
Os (0.131, 0.261, 0.437)
Th (0.500, 0.000, 0.500)
Th (0.234, 0.468, 0.615)
Th (0.766, 0.532, 0.115)
Th (0.234, 0.468, 0.885)
Th (0.056, 0.113, 0.250)
Th (0.944, 0.887, 0.750)
Os (0.869, 0.739, 0.937)
Os (0.131, 0.261, 0.063)
Au (0.612, 0.223, 0.750)
Au (0.388, 0.777, 0.250)
Th (0.500, 0.000, 0.000)
Os (0.869, 0.739, 0.563)
Th (0.766, 0.532, 0.385)

Values from the calculation:
Crystal system   orthorhombic
Energy of formation   -2.92 eV/f.u.
Magnetic moment   0.00 μB/f.u.
Symmetry   No. 63

Record 3
Density functional theory data (PBE) for crystalline TbThSe2 at its relaxed geometry.

Cell lengths 3.924, 3.924, 7.988 Å; angles 75.78, 75.78, 60.00 degrees
Atoms (fractional coordinates):
Th (0.669, 0.669, 0.993)
Tb (0.497, 0.497, 0.509)
Se (0.247, 0.247, 0.260)
Se (0.087, 0.087, 0.738)

Values from the calculation:
Crystal system   trigonal
Magnetic moment   0.00 μB/f.u.
ΔE_f (raw)   -1.594 eV per atom
Symmetry   No. 160
E above lowest polymorph   0.057 eV/atom

Which formula does entry 3 have?
TbThSe2

Please write out number 2 again, unchanged.
Density functional theory data (PBE) for crystalline Th4Os2Au at its relaxed geometry.

Cell lengths 4.142, 7.148, 13.825 Å; angles 90.00, 90.00, 106.84 degrees
Atoms (fractional coordinates):
Os (0.131, 0.261, 0.437)
Th (0.500, 0.000, 0.500)
Th (0.234, 0.468, 0.615)
Th (0.766, 0.532, 0.115)
Th (0.234, 0.468, 0.885)
Th (0.056, 0.113, 0.250)
Th (0.944, 0.887, 0.750)
Os (0.869, 0.739, 0.937)
Os (0.131, 0.261, 0.063)
Au (0.612, 0.223, 0.750)
Au (0.388, 0.777, 0.250)
Th (0.500, 0.000, 0.000)
Os (0.869, 0.739, 0.563)
Th (0.766, 0.532, 0.385)

Values from the calculation:
Crystal system   orthorhombic
Energy of formation   -2.92 eV/f.u.
Magnetic moment   0.00 μB/f.u.
Symmetry   No. 63